(1)
MoPb2: relaxed, PBE-GGA.

Cell: 5.7256 5.7256 5.7256 Å, 103.44 103.44 122.36°
Positions (direct):
Mo  0.7500  0.7500  0.0000
Mo  0.2500  0.2500  0.0000
Pb  0.3430  0.1570  0.5000
Pb  0.1570  0.6570  0.8140
Pb  0.8430  0.3430  0.1860
Pb  0.6570  0.8430  0.5000

Values from the calculation:
* formation energy from the elements: 0.406 eV per atom
* total magnetization: 0.00 μB/atom

=====

(2)
LuPuTcAu: relaxed, PBE-GGA.

Cell: 4.9031 4.9031 4.9031 Å, 60.00 60.00 60.00°
Site moments in Bohr magnetons follow the coordinates.
Positions (direct):
Pu  0.7500  0.7500  0.7500  5.01
Tc  0.5000  0.5000  0.5000  -0.67
Lu  0.2500  0.2500  0.2500  0.06
Au  0.0000  0.0000  0.0000  0.00

Values from the calculation:
* formation energy from the elements: -0.207 eV per atom
* total magnetization: 1.14 μB/atom